Below is a relaxed structure of EuY3P, with properties calculated at the PBE-GGA level.

a b c (Å): 5.4626 5.4626 5.4626
angles (deg): 90.00 90.00 90.00
With the nearest neighbours (Å) after each atom.
Space group Pm-3m (No. 221)
One atom of each set of equivalent atoms:
Eu  0.0000  0.0000  0.0000 x1  12 Y 3.86
Y  0.0000  0.5000  0.5000 x3  2 P 2.73
P  0.5000  0.5000  0.5000 x1  6 Y 2.73

Values from the calculation:
ΔH_f (0 K), meV per atom: -448
V, Å³/atom: 32.6
Size of the total moment, μB per cell: 8.9

Below is a relaxed structure of EuYP, with properties calculated at the PBE-GGA level.

a b c (Å): 4.0229 4.0229 6.7346
angles (deg): 90.00 90.00 120.00
With the nearest neighbours (Å) after each atom.
Space group P3m1 (No. 156)
One atom of each set of equivalent atoms:
Eu  0.0000  0.0000  0.0000 x1  3 P 2.93
Y  0.6667  0.3333  0.4822 x1  3 P 2.74
P  0.3333  0.6667  0.2658 x1  3 Y 2.74, 3 Eu 2.93

Values from the calculation:
ΔH_f (0 K), meV per atom: -905
V, Å³/atom: 31.5
Size of the total moment, μB per cell: 7.6

Below is a relaxed structure of EuY2P, with properties calculated at the PBE-GGA level.

a b c (Å): 3.8455 3.8455 30.7921
angles (deg): 90.00 90.00 120.00
With the nearest neighbours (Å) after each atom.
Space group R-3m (No. 166, hexagonal axes)
One atom of each set of equivalent atoms:
Eu  0.0000  0.0000  0.0000 x3  2 Y 3.55, 6 Eu 3.85
Y  0.0000  0.0000  0.1154 x6  3 P 2.72
P  0.0000  0.0000  0.5000 x3  6 Y 2.72

Values from the calculation:
ΔH_f (0 K), meV per atom: -620
V, Å³/atom: 32.9
Size of the total moment, μB per cell: 21.6

Below is a relaxed structure of Eu2ZnP2, with properties calculated at the PBE-GGA level.

a b c (Å): 4.1394 15.7407 7.2427
angles (deg): 90.00 90.00 90.00
With the nearest neighbours (Å) after each atom.
Space group Cmc2_1 (No. 36)
One atom of each set of equivalent atoms:
Eu  0.0000  0.0357  0.0000 x4  5 P 2.87-3.02, 2 Zn 3.12
Eu  0.0000  0.2054  0.6645 x4  5 P 2.91-3.08
Zn  0.0000  0.4043  0.8518 x4  4 P 2.44-2.70
P  0.0000  0.1688  0.2701 x4  2 Zn 2.44
P  0.0000  0.4383  0.2024 x4  2 Zn 2.60-2.70

Values from the calculation:
ΔH_f (0 K), meV per atom: -997
V, Å³/atom: 23.6
Size of the total moment, μB per cell: 56.0
Energy above the lowest structure with this stoichiometry, eV/atom: 0.0000

Below is a relaxed structure of Eu2ZnP, with properties calculated at the PBE-GGA level.

a b c (Å): 4.2186 4.2186 28.8367
angles (deg): 90.00 90.00 120.00
With the nearest neighbours (Å) after each atom.
Space group R-3m (No. 166, hexagonal axes)
One atom of each set of equivalent atoms:
Eu  0.0000  0.0000  0.1125 x6  3 P 2.89
Zn  0.0000  0.0000  0.0000 x3  2 Eu 3.25
P  0.0000  0.0000  0.5000 x3  6 Eu 2.89

Values from the calculation:
ΔH_f (0 K), meV per atom: -443
V, Å³/atom: 37.0
Size of the total moment, μB per cell: 44.6
Energy above the lowest structure with this stoichiometry, eV/atom: 0.2305

Below is a relaxed structure of Eu2ZnP, with properties calculated at the PBE-GGA level.

a b c (Å): 3.7351 3.7351 7.1097
angles (deg): 90.00 90.00 90.00
With the nearest neighbours (Å) after each atom.
Space group P4/mmm (No. 123)
One atom of each set of equivalent atoms:
Eu  0.0000  0.0000  0.2216 x2  4 P 3.08, 1 Eu 3.15, 4 Zn 3.30
Zn  0.5000  0.5000  0.5000 x1  8 Eu 3.30, 2 P 3.55
P  0.5000  0.5000  0.0000 x1  8 Eu 3.08

Values from the calculation:
ΔH_f (0 K), meV per atom: -673
V, Å³/atom: 24.8
Size of the total moment, μB per cell: 13.9
Energy above the lowest structure with this stoichiometry, eV/atom: 0.0000